--- A ---
Entry from the Alexandria database: ScCuB3 after structural relaxation (GGA-PBE).

## Properties
**Magnetic moment**: 0.000 μB/atom

Lattice parameters (Å, degrees): 3.851 3.851 3.851 90.00 90.00 90.00
Fractional coordinates of all 5 atoms:
Sc: 0.000 0.000 0.000
Cu: 0.500 0.500 0.500
B: 0.000 0.500 0.500
B: 0.500 0.000 0.500
B: 0.500 0.500 0.000



--- B ---
Entry from the Alexandria database: ScCuB3 after structural relaxation (GGA-PBE).

## Properties
**Magnetic moment**: 0.000 μB/atom

Lattice parameters (Å, degrees): 4.322 4.322 4.322 90.00 90.00 90.00
Fractional coordinates of all 5 atoms:
Sc: 0.000 0.000 0.000
Cu: 0.500 0.500 0.500
B: 0.000 0.000 0.500
B: 0.000 0.500 0.000
B: 0.500 0.000 0.000



Q: Which of them is the most stable? A: A.



--- A ---
Entry from the Alexandria database: Sc2CuB2 after structural relaxation (GGA-PBE).

## Properties
**Magnetic moment**: 0.000 μB/atom

Lattice parameters (Å, degrees): 6.186 6.186 3.429 90.00 90.00 90.00
Fractional coordinates of all 10 atoms:
Sc: 0.182 0.318 0.000
Sc: 0.318 0.818 0.000
Sc: 0.682 0.182 0.000
Sc: 0.818 0.682 0.000
Cu: 0.000 0.000 0.500
Cu: 0.500 0.500 0.500
B: 0.096 0.596 0.500
B: 0.404 0.096 0.500
B: 0.596 0.904 0.500
B: 0.904 0.404 0.500



--- B ---
Entry from the Alexandria database: Sc2CuB2 after structural relaxation (GGA-PBE).

## Properties
**Magnetic moment**: 0.000 μB/atom

Lattice parameters (Å, degrees): 8.376 8.376 8.376 160.10 160.10 28.29
Fractional coordinates of all 5 atoms:
Sc: 0.124 0.124 0.000
Sc: 0.876 0.876 0.000
Cu: 0.500 0.500 0.000
B: 0.250 0.750 0.500
B: 0.750 0.250 0.500



Q: Which of them is the most stable? A: A.